(1)
Below is a geometry-optimized Nb14ReTc structure, with properties calculated at the PBE-GGA level.

Summary:
VASP energy	-10.35	eV/atom
DFT formation energy	-114	meV/atom

```
data_Nb14ReTc
_chemical_formula_sum 'Nb14 Re1 Tc1'
_cell_length_a 6.541
_cell_length_b 6.541
_cell_length_c 6.600
_cell_angle_alpha 90.00
_cell_angle_beta 90.00
_cell_angle_gamma 90.00
_space_group_name_H-M_alt 'P 4/m m m'
_space_group_IT_number 123
_space_group_name_Hall '-P 4 2'
loop_
_atom_site_label
_atom_site_type_symbol
_atom_site_fract_x
_atom_site_fract_y
_atom_site_fract_z
Nb1 Nb 0.000 0.000 0.000
Nb2 Nb 0.000 0.500 0.000
Nb3 Nb 0.000 0.500 0.500
Nb4 Nb 0.250 0.250 0.256
Nb5 Nb 0.500 0.500 0.000
Re1 Re 0.000 0.000 0.500
Tc1 Tc 0.500 0.500 0.500
```

(2)
Below is a geometry-optimized NbRe2Tc structure, with properties calculated at the PBE-GGA level.

Summary:
VASP energy	-10.62	eV/atom
polymorph energy (0 for the lowest one)	640.3	meV/atom
DFT formation energy	717	meV/atom

```
data_NbRe2Tc
_chemical_formula_sum 'Nb4 Re8 Tc4'
_cell_length_a 7.239
_cell_length_b 7.239
_cell_length_c 5.207
_cell_angle_alpha 90.00
_cell_angle_beta 90.00
_cell_angle_gamma 90.00
_space_group_name_H-M_alt 'I -4 2 d'
_space_group_IT_number 122
_space_group_name_Hall 'I -4 2bw'
loop_
_atom_site_label
_atom_site_type_symbol
_atom_site_fract_x
_atom_site_fract_y
_atom_site_fract_z
Nb1 Nb 0.000 0.000 0.000
Re1 Re 0.231 0.750 0.625
Tc1 Tc 0.000 0.000 0.500
```

Question: What is the formula in the second record?
Answer: NbRe2Tc